[1]
Compound: KBa2In2
Source: Alexandria via LeMat-Bulk
Functional: SCAN
Structure: PBEsol geometry

Structure (extended XYZ):
```
10
Lattice="-2.3840 2.9690 1.5677 -8.0680 -5.3913 -2.0583 0.5685 -4.2633 8.9385" Properties=species:S:1:pos:R:3 pbc="T T T"
Ba -3.6979 -1.0116 1.7004
Ba -7.6488 -4.3302 1.9775
Ba -2.2346 -2.3554 6.4705
Ba -6.1856 -5.6740 6.7475
In -2.6141 -5.8629 7.1282
In -0.6962 -2.2597 3.2208
In -6.8032 -7.3949 3.6594
In -4.8854 -3.7917 -0.2480
K -3.7497 -4.8273 3.4401
K 0.0000 0.0000 0.0000
```

Computed properties:
- ΔH_f (0 K): -0.346 eV/atom
- Magnetic moment: 0.00 μB/cell
- Uncorrected energy: -311.9 eV/cell

=====

[2]
Compound: Tl3Sn
Source: Alexandria via LeMat-Bulk
Functional: SCAN
Structure: PBEsol geometry

Structure (extended XYZ):
```
8
Lattice="-4.9671 -2.1420 1.1832 2.3418 -6.2237 -1.4362 0.4620 2.4295 6.3376" Properties=species:S:1:pos:R:3 pbc="T T T"
Tl -0.6906 -0.7658 2.1925
Tl -0.4625 0.4337 5.3215
Tl 0.6937 -2.6391 4.6124
Tl -2.8569 -3.2972 1.4722
Tl -1.4726 -5.1704 3.8921
Tl -1.7007 -6.3699 0.7632
Sn 0.4734 -3.8748 1.4509
Sn -2.6367 -2.0614 4.6338
```

Computed properties:
- ΔH_f (0 K): 0.071 eV/atom
- Magnetic moment: 0.00 μB/cell
- Uncorrected energy: -505.4 eV/cell

=====

[3]
Compound: CdCuC3
Source: Alexandria via LeMat-Bulk
Functional: SCAN
Structure: PBEsol geometry

Structure (extended XYZ):
```
5
Lattice="-1.5955 3.8322 0.5923 -3.5500 -1.1858 -1.8904 -1.5602 -1.2208 3.6956" Properties=species:S:1:pos:R:3 pbc="T T T"
Cd 0.0000 0.0000 0.0000
C -1.7750 -0.5929 -0.9452
C -0.7801 -0.6104 1.8478
C -0.7977 1.9161 0.2962
Cu -3.3528 0.7128 1.1988
```

Computed properties:
- ΔH_f (0 K): 3.651 eV/atom
- Magnetic moment: 0.00 μB/cell
- Uncorrected energy: -57.7 eV/cell

=====

[4]
Compound: PrSnIr
Source: Alexandria via LeMat-Bulk
Functional: SCAN
Structure: PBEsol geometry

Structure (extended XYZ):
```
9
Lattice="-2.9412 -2.9003 0.5142 -0.5520 -0.7423 -7.3438 4.7868 -4.1817 3.7931" Properties=species:S:1:pos:R:3 pbc="T T T"
Ir -1.4706 -1.4502 0.2571
Ir 1.2276 -1.8888 -3.6315
Ir 3.0072 -3.0353 0.0808
Sn 3.1780 -3.6953 -2.6647
Sn 1.1945 -1.0435 0.9465
Sn -0.1377 -0.1852 -1.8326
Pr 0.2817 -3.4876 -1.2121
Pr 1.3355 -3.9016 2.4807
Pr -1.7942 -1.8853 -4.0480
```

Computed properties:
- ΔH_f (0 K): -0.906 eV/atom
- Magnetic moment: 0.00 μB/cell
- Uncorrected energy: -459.2 eV/cell

=====

[5]
Compound: YC7
Source: Alexandria via LeMat-Bulk
Functional: SCAN
Structure: PBEsol geometry

Structure (extended XYZ):
```
8
Lattice="-0.1855 -1.3183 -4.5424 3.9852 -0.3332 -2.5323 1.6300 -4.2497 -1.2995" Properties=species:S:1:pos:R:3 pbc="T T T"
C 1.9926 -0.1666 -1.2662
C 0.8150 -2.1249 -0.6497
C 0.7223 -2.7840 -2.9209
C 2.7149 -2.9506 -4.1871
C 2.8076 -2.2915 -1.9159
C 1.8999 -0.8258 -3.5374
C -0.0928 -0.6592 -2.2712
Y 0.0000 0.0000 0.0000
```

Computed properties:
- ΔH_f (0 K): 3.658 eV/atom
- Magnetic moment: 0.00 μB/cell
- Uncorrected energy: -69.3 eV/cell

=====

[6]
Compound: AgSb
Source: Alexandria via LeMat-Bulk
Functional: SCAN
Structure: PBEsol geometry

Structure (extended XYZ):
```
4
Lattice="-2.7291 0.1315 3.8566 1.6674 -4.1324 -1.5753 4.5650 0.6186 3.2094" Properties=species:S:1:pos:R:3 pbc="T T T"
Ag 3.6257 -2.2472 2.6424
Ag -0.1224 -1.1351 2.8483
Sb 2.1602 -0.8259 4.4530
Sb 1.3432 -2.5565 1.0377
```

Computed properties:
- Magnetic moment: 0.00 μB/cell
- Uncorrected energy: -136.3 eV/cell
- E above lowest polymorph: 0.355 eV/f.u.

=====

[7]
Compound: BaAuSe
Source: Alexandria via LeMat-Bulk
Functional: SCAN
Structure: PBEsol geometry

Structure (extended XYZ):
```
3
Lattice="5.0963 0.0000 0.0000 2.5481 4.4135 0.0000 2.5481 1.4712 4.1611" Properties=species:S:1:pos:R:3 pbc="T T T"
Au 0.0000 0.0000 0.0000
Se 2.5481 1.4712 1.0403
Ba 5.0963 2.9423 2.0806
```

Computed properties:
- Magnetic moment: 0.00 μB/cell
- Uncorrected energy: -131.5 eV/cell

=====

[8]
Compound: CrTeSe2Br
Source: Alexandria via LeMat-Bulk
Functional: SCAN
Structure: PBEsol geometry

Structure (extended XYZ):
```
5
Lattice="-4.9143 -1.9595 -0.1186 0.3140 -0.4690 -5.2617 1.9805 -5.0011 0.5640" Properties=species:S:1:pos:R:3 pbc="T T T"
Cr -1.3099 -3.7148 -2.4082
Se 0.1570 -0.2345 -2.6308
Se -2.4571 -0.9798 -0.0593
Br 0.9903 -2.5006 0.2820
Te 0.0000 0.0000 0.0000
```

Computed properties:
- Magnetic moment: 4.69 μB/cell
- Uncorrected energy: -113.2 eV/cell

=====

Copy entry 1 word for word.
Compound: KBa2In2
Source: Alexandria via LeMat-Bulk
Functional: SCAN
Structure: PBEsol geometry

Structure (extended XYZ):
```
10
Lattice="-2.3840 2.9690 1.5677 -8.0680 -5.3913 -2.0583 0.5685 -4.2633 8.9385" Properties=species:S:1:pos:R:3 pbc="T T T"
Ba -3.6979 -1.0116 1.7004
Ba -7.6488 -4.3302 1.9775
Ba -2.2346 -2.3554 6.4705
Ba -6.1856 -5.6740 6.7475
In -2.6141 -5.8629 7.1282
In -0.6962 -2.2597 3.2208
In -6.8032 -7.3949 3.6594
In -4.8854 -3.7917 -0.2480
K -3.7497 -4.8273 3.4401
K 0.0000 0.0000 0.0000
```

Computed properties:
- ΔH_f (0 K): -0.346 eV/atom
- Magnetic moment: 0.00 μB/cell
- Uncorrected energy: -311.9 eV/cell

=====

Q: Which value of magnetic moment does entry 8 give?
A: 4.69 μB/cell

=====

Q: What is the formula in the fourth record?
A: PrSnIr

=====

Q: uncorrected energy of number 5 (YC7)?
A: -69.3 eV/cell